Entry 1:
Entry from Alexandria: a relaxed V5FeRu2 crystal (GGA-PBE).

It has space group I4/mmm (No. 139), with a = 4.175 Å, b = 4.175 Å, c = 11.921 Å, α = 90.00°, β = 90.00° and γ = 90.00°. The inequivalent atoms are V at (0.000, 0.000, 0.000), V at (0.000, 0.500, 0.119), Fe at (0.000, 0.000, 0.500) and Ru at (0.000, 0.000, 0.252).

As for the volume: 207.7 Å³ per cell. The calculation puts the formation energy at -2.00 eV per formula unit.

***

Entry 2:
Entry from Alexandria: a relaxed V4FeRu crystal (GGA-PBE).

It has space group P4/mmm (No. 123), with a = 2.950 Å, b = 2.950 Å, c = 8.901 Å, α = 90.00°, β = 90.00° and γ = 90.00°. The inequivalent atoms are V at (0.000, 0.000, 0.160), V at (0.500, 0.500, 0.326), Fe at (0.500, 0.500, 0.000) and Ru at (0.000, 0.000, 0.500).

The polymorph energy (0 for the lowest one) is 0 meV per atom. As for the volume: 77.5 Å³ per cell. The calculation puts the formation energy at -1.35 eV per formula unit.

***

Entry 3:
Entry from Alexandria: a relaxed V2FeRu crystal (GGA-PBE).

It has space group I-42d (No. 122), with a = 6.571 Å, b = 6.571 Å, c = 5.113 Å, α = 90.00°, β = 90.00° and γ = 90.00°. The inequivalent atoms are V at (0.244, 0.750, 0.125), Fe at (0.000, 0.000, 0.000) and Ru at (0.000, 0.000, 0.500).

The polymorph energy (0 for the lowest one) is 587 meV per atom. As for the volume: 220.8 Å³ per cell. The calculation puts the formation energy at 1.56 eV per formula unit.

***

Entry 4:
Entry from Alexandria: a relaxed V2FeRu2 crystal (GGA-PBE).

It has space group Cmmm (No. 65), with a = 2.908 Å, b = 15.880 Å, c = 2.936 Å, α = 90.00°, β = 90.00° and γ = 90.00°. The inequivalent atoms are V at (0.000, 0.091, 0.000), Fe at (0.000, 0.500, 0.500) and Ru at (0.000, 0.320, 0.500).

The polymorph energy (0 for the lowest one) is 0 meV per atom. As for the volume: 135.5 Å³ per cell. The calculation puts the formation energy at -0.22 eV per formula unit.

***

Entry 5:
Entry from Alexandria: a relaxed VFe2Ru crystal (GGA-PBE).

It has space group Fm-3m (No. 225), with a = 5.903 Å, b = 5.903 Å, c = 5.903 Å, α = 90.00°, β = 90.00° and γ = 90.00°. The inequivalent atoms are V at (0.000, 0.000, 0.000), Fe at (0.250, 0.250, 0.250) and Ru at (0.000, 0.000, 0.500).

The polymorph energy (0 for the lowest one) is 24 meV per atom. As for the volume: 205.7 Å³ per cell. The calculation puts the formation energy at -0.14 eV per formula unit.

***

Entry 6:
Entry from Alexandria: a relaxed VFeRuW crystal (GGA-PBE).

It has space group F-43m (No. 216), with a = 6.039 Å, b = 6.039 Å, c = 6.039 Å, α = 90.00°, β = 90.00° and γ = 90.00°. The inequivalent atoms are V at (0.000, 0.000, 0.000), Fe at (0.000, 0.000, 0.500), Ru at (0.250, 0.250, 0.250) and W at (0.250, 0.250, 0.750).

As for the volume: 220.3 Å³ per cell. The calculation puts the formation energy at 0.09 eV per formula unit.

***

Entry 7:
Entry from Alexandria: a relaxed VZn2FeRu crystal (GGA-PBE).

It has space group P4/mmm (No. 123), with a = 4.621 Å, b = 4.621 Å, c = 3.876 Å, α = 90.00°, β = 90.00° and γ = 90.00°. The inequivalent atoms are V at (0.000, 0.000, 0.000), Zn at (0.000, 0.500, 0.000), Fe at (0.000, 0.000, 0.500) and Ru at (0.500, 0.500, 0.500).

As for the volume: 82.8 Å³ per cell. The calculation puts the formation energy at 6.53 eV per formula unit.

***

Entry 8:
Entry from Alexandria: a relaxed Fe2Ru2W crystal (GGA-PBE).

It has space group I4/mmm (No. 139), with a = 3.648 Å, b = 3.648 Å, c = 10.358 Å, α = 90.00°, β = 90.00° and γ = 90.00°. The inequivalent atoms are Fe at (0.000, 0.000, 0.098), Ru at (0.000, 0.500, 0.250) and W at (0.000, 0.000, 0.500).

The polymorph energy (0 for the lowest one) is 318 meV per atom. As for the volume: 137.8 Å³ per cell. The calculation puts the formation energy at 2.51 eV per formula unit.

***

Entry 9:
Entry from Alexandria: a relaxed FeRu4W crystal (GGA-PBE).

It has space group F-43m (No. 216), with a = 7.111 Å, b = 7.111 Å, c = 7.111 Å, α = 90.00°, β = 90.00° and γ = 90.00°. The inequivalent atoms are Fe at (0.000, 0.000, 0.000), Ru at (0.125, 0.125, 0.625) and W at (0.250, 0.250, 0.250).

As for the volume: 359.5 Å³ per cell. The calculation puts the formation energy at 2.76 eV per formula unit.

***

Entry 10:
Entry from Alexandria: a relaxed FeRu2W crystal (GGA-PBE).

It has space group P4/mmm (No. 123), with a = 2.763 Å, b = 2.763 Å, c = 7.323 Å, α = 90.00°, β = 90.00° and γ = 90.00°. The inequivalent atoms are Fe at (0.000, 0.000, 0.000), Ru at (0.500, 0.500, 0.235) and W at (0.000, 0.000, 0.500).

The polymorph energy (0 for the lowest one) is 106 meV per atom. As for the volume: 55.9 Å³ per cell. The calculation puts the formation energy at 0.49 eV per formula unit.

***

Entry 11:
Entry from Alexandria: a relaxed FeRu2W crystal (GGA-PBE).

It has space group P4/mmm (No. 123), with a = 3.142 Å, b = 3.142 Å, c = 5.776 Å, α = 90.00°, β = 90.00° and γ = 90.00°. The inequivalent atoms are Fe at (0.000, 0.000, 0.000), Ru at (0.500, 0.500, 0.241) and W at (0.000, 0.000, 0.500).

The polymorph energy (0 for the lowest one) is 101 meV per atom. As for the volume: 57.0 Å³ per cell. The calculation puts the formation energy at 0.47 eV per formula unit.

***

Entry 12:
Entry from Alexandria: a relaxed FeRu2W crystal (GGA-PBE).

It has space group P4/mmm (No. 123), with a = 3.839 Å, b = 3.839 Å, c = 3.747 Å, α = 90.00°, β = 90.00° and γ = 90.00°. The inequivalent atoms are Fe at (0.000, 0.000, 0.000), Ru at (0.000, 0.500, 0.500) and W at (0.500, 0.500, 0.000).

The polymorph energy (0 for the lowest one) is 0 meV per atom. As for the volume: 55.2 Å³ per cell. The calculation puts the formation energy at 0.06 eV per formula unit.

***

What is the formula in the second record? V4FeRu

***

Which formula does entry 2 have? V4FeRu